Sr4Ag2Hg5: relaxed, PBE.

Properties
- Spin magnetization: 0.000 μB per atom
- Final energy: -18.515 eV/f.u.

Lattice parameters (Å, degrees): 8.085 4.281 9.823 90.00 92.03 90.00
Space group P2/m (No. 10)
One atom of each set of equivalent atoms:
Sr 0.215 0.000 0.141 [2 per cell]
Sr 0.253 0.000 0.610 [2 per cell]
Ag 0.066 0.500 0.372 [2 per cell]
Hg 0.137 0.500 0.877 [2 per cell]
Hg 0.421 0.500 0.356 [2 per cell]
Hg 0.500 0.500 0.000 [1 per cell]


FeTcAu2: relaxed, PBE.

Properties
- Spin magnetization: 0.972 μB per atom
- Final energy: -24.065 eV/f.u.

Lattice parameters (Å, degrees): 5.638 8.287 2.712 90.00 90.00 90.00
Space group Cmmm (No. 65)
One atom of each set of equivalent atoms:
Fe 0.000 0.000 0.000 [2 per cell]
Tc 0.000 0.500 0.000 [2 per cell]
Au 0.250 0.250 0.500 [4 per cell]


> Which value of spin magnetization does entry 1 give?

0.000 μB per atom


> spin magnetization of number 2 (FeTcAu2)?

0.972 μB per atom